Material: PuZrNpIr
Method: DFT, GGA-PBE
State: relaxed

For the total magnetic moment, the calculation gives 8.52 μB/f.u. For the volume, the calculation gives 320 Å³ per cell. The calculation puts the formation energy at -0.054 eV/atom.

```
data_PuZrNpIr
_cell_length_a 6.839
_cell_length_b 6.839
_cell_length_c 6.839
_cell_angle_alpha 90.00
_cell_angle_beta 90.00
_cell_angle_gamma 90.00
_symmetry_space_group_name_H-M 'F -4 3 m'
_symmetry_Int_Tables_number 216
_symmetry_space_group_name_Hall 'F -4 2 3'
loop_
_atom_site_label
_atom_site_type_symbol
_atom_site_fract_x
_atom_site_fract_y
_atom_site_fract_z
Pu1 Pu 0.000 0.000 0.000
Zr1 Zr 0.000 0.000 0.500
Np1 Np 0.250 0.250 0.250
Ir1 Ir 0.250 0.250 0.750
```